# PrLuCu4, relaxed, DFT PBE-GGA
# - N(E_F) (states/eV/f.u.) = 3.6
# - theoretical density (g cm⁻³) = 9.0
# - magnetization (μB per atom) = 0.00
# - energy of formation from the pure elements (meV per atom) = -130
data_PrLuCu4
_chemical_formula_sum 'Pr4 Lu4 Cu16'
_cell_length_a 7.490
_cell_length_b 7.490
_cell_length_c 7.490
_cell_angle_alpha 90.00
_cell_angle_beta 90.00
_cell_angle_gamma 90.00
_space_group_name_H-M_alt 'F -4 3 m'
_space_group_IT_number 216
_space_group_name_Hall 'F -4 2 3'
loop_
_atom_site_label
_atom_site_type_symbol
_atom_site_fract_x
_atom_site_fract_y
_atom_site_fract_z
Pr1 Pr 0.000 0.000 0.000
Lu1 Lu 0.250 0.250 0.750
Cu1 Cu 0.124 0.124 0.376